[1]
Density functional theory data (PBE) for an optimized crystal structure of NaNdCuPb.

V, Å³/cell: 101.75
ΔH_f (0 K), eV/atom: -0.121
Uncorrected energy, eV for the cell shown: -14.377

a = 5.2403 Å, b = 5.2403 Å, c = 5.2403 Å
α = 60.00°, β = 60.00°, γ = 60.00°
Closest atoms and distances in Å follow each position.
Sites, in units of the cell vectors:
Na: 0.0000 0.0000 0.0000  4 Pb 3.21, 4 Cu 3.21
Nd: 0.5000 0.5000 0.5000  4 Pb 3.21, 4 Cu 3.21
Cu: 0.2500 0.2500 0.2500  4 Na 3.21, 4 Nd 3.21
Pb: 0.7500 0.7500 0.7500  4 Na 3.21, 4 Nd 3.21

---

[2]
Density functional theory data (PBE) for an optimized crystal structure of NaNdCuPd.

V, Å³/cell: 86.70
ΔH_f (0 K), eV/atom: -0.184
Uncorrected energy, eV for the cell shown: -16.112

a = 4.9679 Å, b = 4.9679 Å, c = 4.9679 Å
α = 60.00°, β = 60.00°, γ = 60.00°
Closest atoms and distances in Å follow each position.
Sites, in units of the cell vectors:
Na: 0.0000 0.0000 0.0000  4 Pd 3.04, 4 Cu 3.04
Nd: 0.5000 0.5000 0.5000  4 Pd 3.04, 4 Cu 3.04
Cu: 0.2500 0.2500 0.2500  4 Na 3.04, 4 Nd 3.04
Pd: 0.7500 0.7500 0.7500  4 Na 3.04, 4 Nd 3.04

---

[3]
Density functional theory data (PBE) for an optimized crystal structure of NaNdCuS2.

V, Å³/cell: 252.95
Formation energy (no corrections), eV per atom: -1.00
Uncorrected energy, eV for the cell shown: -46.893

a = 6.6179 Å, b = 4.8589 Å, c = 7.8674 Å
α = 90.00°, β = 90.93°, γ = 90.00°
Closest atoms and distances in Å follow each position.
Sites, in units of the cell vectors:
Na: 0.0000 0.0117 0.2500  4 S 2.88-2.89
Na: 0.0000 0.9883 0.7500  4 S 2.88-2.89
Nd: 0.5000 0.4984 0.7500  4 S 2.81, 4 Cu 3.12-3.13
Nd: 0.5000 0.5016 0.2500  4 S 2.81, 4 Cu 3.12-3.13
Cu: 0.5000 0.0000 0.0000  2 S 2.20
Cu: 0.5000 0.0000 0.5000  2 S 2.20
S: 0.2413 0.2843 0.9972  1 Cu 2.20
S: 0.2413 0.7157 0.4972  1 Cu 2.20
S: 0.7587 0.2843 0.5028  1 Cu 2.20
S: 0.7587 0.7157 0.0028  1 Cu 2.20

---

[4]
Density functional theory data (PBE) for an optimized crystal structure of NaCu2Ni.

V, Å³/cell: 55.03
ΔH_f (0 K), eV/atom: 0.385
Distance to the lowest polymorph of the same formula, kJ per mole of atoms: 0.0
Uncorrected energy, eV for the cell shown: -13.752

a = 4.2694 Å, b = 4.2694 Å, c = 4.2694 Å
α = 60.00°, β = 60.00°, γ = 60.00°
Closest atoms and distances in Å follow each position.
Sites, in units of the cell vectors:
Na: 0.0000 0.0000 0.0000  8 Cu 2.61
Cu: 0.2500 0.2500 0.2500  4 Ni 2.61, 4 Na 2.61
Cu: 0.7500 0.7500 0.7500  4 Ni 2.61, 4 Na 2.61
Ni: 0.5000 0.5000 0.5000  8 Cu 2.61

---

[5]
Density functional theory data (PBE) for an optimized crystal structure of NaCuNi3.

V, Å³/cell: 86.21
ΔH_f (0 K), eV/atom: 0.891
Distance to the lowest polymorph of the same formula, kJ per mole of atoms: 0.0
Uncorrected energy, eV for the cell shown: -18.302

a = 4.4177 Å, b = 4.4177 Å, c = 4.4177 Å
α = 90.00°, β = 90.00°, γ = 90.00°
Closest atoms and distances in Å follow each position.
Sites, in units of the cell vectors:
Na: 0.0000 0.0000 0.0000  12 Ni 3.12
Cu: 0.5000 0.5000 0.5000  6 Ni 2.21
Ni: 0.0000 0.5000 0.5000  2 Cu 2.21
Ni: 0.5000 0.0000 0.5000  2 Cu 2.21
Ni: 0.5000 0.5000 0.0000  2 Cu 2.21

---

[6]
Density functional theory data (PBE) for an optimized crystal structure of NaCu2Ni2.

V, Å³/cell: 134.77
ΔH_f (0 K), eV/atom: 0.201
Distance to the lowest polymorph of the same formula, kJ per mole of atoms: 3.3
Uncorrected energy, eV for the cell shown: -40.143

a = 7.3345 Å, b = 7.3345 Å, c = 2.5052 Å
α = 90.00°, β = 90.00°, γ = 90.00°
Closest atoms and distances in Å follow each position.
Sites, in units of the cell vectors:
Na: 0.0000 0.0000 0.0000  2 Na 2.51
Na: 0.5000 0.5000 0.0000  2 Na 2.51
Cu: 0.1318 0.3682 0.0000  6 Ni 2.49, 3 Cu 2.51-2.73
Cu: 0.3682 0.8682 0.0000  6 Ni 2.49, 3 Cu 2.51-2.73
Cu: 0.6318 0.1318 0.0000  6 Ni 2.49, 3 Cu 2.51-2.73
Cu: 0.8682 0.6318 0.0000  6 Ni 2.49, 3 Cu 2.51-2.73
Ni: 0.1608 0.6608 0.5000  6 Cu 2.49, 2 Ni 2.51
Ni: 0.3392 0.1608 0.5000  6 Cu 2.49, 2 Ni 2.51
Ni: 0.6608 0.8392 0.5000  6 Cu 2.49, 2 Ni 2.51
Ni: 0.8392 0.3392 0.5000  6 Cu 2.49, 2 Ni 2.51

---

[7]
Density functional theory data (PBE) for an optimized crystal structure of NaCu2Ni2.

V, Å³/cell: 134.41
ΔH_f (0 K), eV/atom: 0.166
Distance to the lowest polymorph of the same formula, kJ per mole of atoms: 0.0
Uncorrected energy, eV for the cell shown: -40.484

a = 7.3503 Å, b = 7.3503 Å, c = 2.4879 Å
α = 90.00°, β = 90.00°, γ = 90.00°
Closest atoms and distances in Å follow each position.
Sites, in units of the cell vectors:
Na: 0.0000 0.0000 0.0000  2 Na 2.49
Na: 0.5000 0.5000 0.0000  2 Na 2.49
Cu: 0.1750 0.3250 0.5000  6 Ni 2.48-2.52, 2 Cu 2.49
Cu: 0.3250 0.8250 0.5000  6 Ni 2.48-2.52, 2 Cu 2.49
Cu: 0.6750 0.1750 0.5000  6 Ni 2.48-2.52, 2 Cu 2.49
Cu: 0.8250 0.6750 0.5000  6 Ni 2.48-2.52, 2 Cu 2.49
Ni: 0.1180 0.6180 0.0000  3 Ni 2.45-2.49, 6 Cu 2.48-2.52
Ni: 0.3820 0.1180 0.0000  3 Ni 2.45-2.49, 6 Cu 2.48-2.52
Ni: 0.6180 0.8820 0.0000  3 Ni 2.45-2.49, 6 Cu 2.48-2.52
Ni: 0.8820 0.3820 0.0000  3 Ni 2.45-2.49, 6 Cu 2.48-2.52

---

[8]
Density functional theory data (PBE) for an optimized crystal structure of Na3CuNi.

V, Å³/cell: 144.84
ΔH_f (0 K), eV/atom: 0.735
Distance to the lowest polymorph of the same formula, kJ per mole of atoms: 0.0
Uncorrected energy, eV for the cell shown: -10.159

a = 5.2517 Å, b = 5.2517 Å, c = 5.2517 Å
α = 90.00°, β = 90.00°, γ = 90.00°
Closest atoms and distances in Å follow each position.
Sites, in units of the cell vectors:
Na: 0.0000 0.0000 0.5000  2 Ni 2.63
Na: 0.0000 0.5000 0.0000  2 Ni 2.63
Na: 0.5000 0.0000 0.0000  2 Ni 2.63
Cu: 0.5000 0.5000 0.5000  12 Na 3.71
Ni: 0.0000 0.0000 0.0000  6 Na 2.63

---

[9]
Density functional theory data (PBE) for an optimized crystal structure of NaCu2Ni.

V, Å³/cell: 122.10
ΔH_f (0 K), eV/atom: 0.609
Distance to the lowest polymorph of the same formula, kJ per mole of atoms: 21.6
Uncorrected energy, eV for the cell shown: -25.714

a = 9.2028 Å, b = 9.2028 Å, c = 9.2028 Å
α = 156.67°, β = 156.67°, γ = 33.23°
Closest atoms and distances in Å follow each position.
Sites, in units of the cell vectors:
Na: 0.0000 0.0000 0.0000  4 Cu 2.62, 4 Ni 2.63
Na: 0.7500 0.2500 0.5000  4 Cu 2.62, 4 Ni 2.63
Cu: 0.1634 0.6250 0.0384  2 Cu 2.44, 2 Ni 2.52, 2 Na 2.62
Cu: 0.3750 0.4134 0.5384  2 Cu 2.44, 2 Ni 2.52, 2 Na 2.62
Cu: 0.5866 0.1250 0.9616  2 Cu 2.44, 2 Ni 2.52, 2 Na 2.62
Cu: 0.8750 0.8366 0.4616  2 Cu 2.44, 2 Ni 2.52, 2 Na 2.62
Ni: 0.2500 0.7500 0.5000  4 Cu 2.52, 4 Na 2.63
Ni: 0.5000 0.5000 0.0000  4 Cu 2.52, 4 Na 2.63

---

[10]
Density functional theory data (PBE) for an optimized crystal structure of NaCu2Ni2.

V, Å³/cell: 73.91
ΔH_f (0 K), eV/atom: 0.369
Distance to the lowest polymorph of the same formula, kJ per mole of atoms: 19.6
Uncorrected energy, eV for the cell shown: -19.229

a = 6.1858 Å, b = 6.1858 Å, c = 6.1858 Å
α = 145.94°, β = 145.94°, γ = 48.93°
Closest atoms and distances in Å follow each position.
Sites, in units of the cell vectors:
Na: 0.0000 0.0000 0.0000  8 Cu 2.84
Cu: 0.3916 0.3916 0.0000  4 Ni 2.41, 1 Cu 2.44
Cu: 0.6084 0.6084 0.0000  4 Ni 2.41, 1 Cu 2.44
Ni: 0.2500 0.7500 0.5000  4 Cu 2.41, 4 Ni 2.56
Ni: 0.7500 0.2500 0.5000  4 Cu 2.41, 4 Ni 2.56

---

[11]
Density functional theory data (PBE) for an optimized crystal structure of NaCu3Ni.

V, Å³/cell: 84.76
ΔH_f (0 K), eV/atom: 1.477
Distance to the lowest polymorph of the same formula, kJ per mole of atoms: 86.9
Uncorrected energy, eV for the cell shown: -12.005

a = 4.3927 Å, b = 4.3927 Å, c = 4.3927 Å
α = 90.00°, β = 90.00°, γ = 90.00°
Closest atoms and distances in Å follow each position.
Sites, in units of the cell vectors:
Na: 0.0000 0.0000 0.0000  6 Cu 2.20
Cu: 0.0000 0.0000 0.5000  2 Na 2.20
Cu: 0.0000 0.5000 0.0000  2 Na 2.20
Cu: 0.5000 0.0000 0.0000  2 Na 2.20
Ni: 0.5000 0.5000 0.5000  12 Cu 3.11

---

[12]
Density functional theory data (PBE) for an optimized crystal structure of Na2Cu2Ni.

V, Å³/cell: 176.50
ΔH_f (0 K), eV/atom: 0.318
Uncorrected energy, eV for the cell shown: -30.039

a = 6.1178 Å, b = 6.1178 Å, c = 4.7158 Å
α = 90.00°, β = 90.00°, γ = 90.00°
Closest atoms and distances in Å follow each position.
Sites, in units of the cell vectors:
Na: 0.1808 0.3192 0.0000  6 Cu 2.83-3.07, 1 Na 3.13
Na: 0.3192 0.8192 0.0000  6 Cu 2.83-3.07, 1 Na 3.13
Na: 0.6808 0.1808 0.0000  6 Cu 2.83-3.07, 1 Na 3.13
Na: 0.8192 0.6808 0.0000  6 Cu 2.83-3.07, 1 Na 3.13
Cu: 0.1376 0.6376 0.5000  2 Ni 2.37, 1 Cu 2.38
Cu: 0.3624 0.1376 0.5000  2 Ni 2.37, 1 Cu 2.38
Cu: 0.6376 0.8624 0.5000  2 Ni 2.37, 1 Cu 2.38
Cu: 0.8624 0.3624 0.5000  2 Ni 2.37, 1 Cu 2.38
Ni: 0.0000 0.0000 0.5000  4 Cu 2.37
Ni: 0.5000 0.5000 0.5000  4 Cu 2.37

---

[13]
Density functional theory data (PBE) for an optimized crystal structure of NaCu3Ni.

V, Å³/cell: 90.88
ΔH_f (0 K), eV/atom: 0.576
Distance to the lowest polymorph of the same formula, kJ per mole of atoms: 0.0
Uncorrected energy, eV for the cell shown: -16.509

a = 4.4960 Å, b = 4.4960 Å, c = 4.4960 Å
α = 90.00°, β = 90.00°, γ = 90.00°
Closest atoms and distances in Å follow each position.
Sites, in units of the cell vectors:
Na: 0.0000 0.0000 0.0000  12 Cu 3.18
Cu: 0.0000 0.5000 0.5000  2 Ni 2.25
Cu: 0.5000 0.0000 0.5000  2 Ni 2.25
Cu: 0.5000 0.5000 0.0000  2 Ni 2.25
Ni: 0.5000 0.5000 0.5000  6 Cu 2.25